Model 1:
Computed, not measured: a relaxed structure of YTc2Sb2 at the PBE level of DFT.

Summary:
density of states at the Fermi level = 4.6 states/eV per cell

Cell lengths 6.210, 6.210, 6.210 Å; angles 136.91, 136.91, 62.58 degrees
Positions (direct):
Y1 0.000 0.000 0.000
Tc1 0.250 0.750 0.500
Tc2 0.750 0.250 0.500
Sb1 0.366 0.366 0.000
Sb2 0.634 0.634 0.000

Model 2:
Computed, not measured: a relaxed structure of YTc2Sb2 at the PBE level of DFT.

Summary:
density of states at the Fermi level = 9.9 states/eV per cell

Cell lengths 7.775, 7.775, 3.279 Å; angles 90.00, 90.00, 90.00 degrees
Positions (direct):
Y1 0.000 0.000 0.000
Y2 0.500 0.500 0.000
Tc1 0.134 0.366 0.000
Tc2 0.366 0.866 0.000
Tc3 0.634 0.134 0.000
Tc4 0.866 0.634 0.000
Sb1 0.160 0.660 0.500
Sb2 0.340 0.160 0.500
Sb3 0.660 0.840 0.500
Sb4 0.840 0.340 0.500

The least stable of them is model 2.

Model 1:
Computed, not measured: a relaxed structure of YTcSb2 at the PBE level of DFT.

Summary:
density of states at the Fermi level = 4.2 states/eV per cell

Cell lengths 3.540, 4.940, 4.997 Å; angles 90.00, 90.10, 90.00 degrees
Positions (direct):
Y1 0.000 0.000 0.000
Tc1 0.000 0.500 0.500
Sb1 0.500 0.000 0.500
Sb2 0.500 0.500 0.000

Model 2:
Computed, not measured: a relaxed structure of YTcSb2 at the PBE level of DFT.

Summary:
density of states at the Fermi level = 4.4 states/eV per cell

Cell lengths 9.282, 9.282, 9.282 Å; angles 21.21, 21.21, 21.21 degrees
Positions (direct):
Y1 0.000 0.000 0.000
Tc1 0.500 0.500 0.500
Sb1 0.236 0.236 0.236
Sb2 0.764 0.764 0.764

Model 3:
Computed, not measured: a relaxed structure of YTcSb2 at the PBE level of DFT.

Summary:
density of states at the Fermi level = 3.9 states/eV per cell

Cell lengths 5.741, 5.741, 5.741 Å; angles 136.30, 136.30, 63.52 degrees
Positions (direct):
Y1 0.000 0.000 0.000
Tc1 0.750 0.250 0.500
Sb1 0.250 0.750 0.500
Sb2 0.500 0.500 0.000

Model 4:
Computed, not measured: a relaxed structure of YTcSb2 at the PBE level of DFT.

Summary:
density of states at the Fermi level = 7.9 states/eV per cell

Cell lengths 9.265, 9.265, 9.265 Å; angles 147.62, 147.62, 46.45 degrees
Positions (direct):
Y1 0.000 0.000 0.000
Y2 0.750 0.250 0.500
Tc1 0.250 0.750 0.500
Tc2 0.500 0.500 0.000
Sb1 0.216 0.625 0.091
Sb2 0.375 0.466 0.591
Sb3 0.534 0.125 0.909
Sb4 0.875 0.784 0.409

The least stable of them is model 4.

Model 1:
Computed, not measured: a relaxed structure of YTcSb2 at the PBE level of DFT.

Summary:
density of states at the Fermi level = 1.5 states/eV per cell

Cell lengths 5.667, 5.667, 5.667 Å; angles 47.44, 47.44, 47.44 degrees
Positions (direct):
Y1 0.000 0.000 0.000
Tc1 0.500 0.500 0.500
Sb1 0.226 0.226 0.226
Sb2 0.774 0.774 0.774

Model 2:
Computed, not measured: a relaxed structure of YTcSb2 at the PBE level of DFT.

Summary:
density of states at the Fermi level = 3.7 states/eV per cell

Cell lengths 3.506, 5.057, 5.550 Å; angles 90.00, 108.32, 90.00 degrees
Positions (direct):
Y1 0.000 0.000 0.000
Tc1 0.351 0.500 0.700
Sb1 0.274 0.000 0.547
Sb2 0.627 0.500 0.254

The least stable of them is model 2.

Model 1:
Computed, not measured: a relaxed structure of YTcSb at the PBE level of DFT.

Summary:
density of states at the Fermi level = 3.0 states/eV per cell

Cell lengths 6.038, 6.038, 6.038 Å; angles 147.06, 147.06, 47.28 degrees
Positions (direct):
Y1 0.000 0.000 0.000
Tc1 0.676 0.676 0.000
Sb1 0.292 0.292 0.000

Model 2:
Computed, not measured: a relaxed structure of YTcSb at the PBE level of DFT.

Summary:
density of states at the Fermi level = 2.0 states/eV per cell

Cell lengths 4.611, 4.611, 3.613 Å; angles 90.00, 90.00, 120.00 degrees
Positions (direct):
Y1 0.000 0.000 0.000
Tc1 0.667 0.333 0.500
Sb1 0.333 0.667 0.500

Model 3:
Computed, not measured: a relaxed structure of YTcSb at the PBE level of DFT.

Summary:
density of states at the Fermi level = 1.5 states/eV per cell

Cell lengths 3.548, 3.548, 6.391 Å; angles 90.00, 90.00, 120.00 degrees
Positions (direct):
Y1 0.000 0.000 0.000
Tc1 0.333 0.667 0.665
Sb1 0.667 0.333 0.396

Model 4:
Computed, not measured: a relaxed structure of YTcSb at the PBE level of DFT.

Summary:
density of states at the Fermi level = 4.3 states/eV per cell

Cell lengths 4.804, 4.804, 4.804 Å; angles 60.00, 60.00, 60.00 degrees
Positions (direct):
Y1 0.000 0.000 0.000
Tc1 0.250 0.250 0.250
Sb1 0.750 0.750 0.750

The least stable of them is model 4.

Model 1:
Computed, not measured: a relaxed structure of YTc3Sb at the PBE level of DFT.

Summary:
density of states at the Fermi level = 3.7 states/eV per cell

Cell lengths 4.867, 4.867, 4.867 Å; angles 90.00, 90.00, 90.00 degrees
Positions (direct):
Y1 0.000 0.000 0.000
Tc1 0.000 0.500 0.500
Tc2 0.500 0.000 0.500
Tc3 0.500 0.500 0.000
Sb1 0.500 0.500 0.500

Model 2:
Computed, not measured: a relaxed structure of YTc3Sb at the PBE level of DFT.

Summary:
density of states at the Fermi level = 5.8 states/eV per cell

Cell lengths 4.884, 4.884, 4.884 Å; angles 90.00, 90.00, 90.00 degrees
Positions (direct):
Y1 0.000 0.000 0.000
Tc1 0.000 0.000 0.500
Tc2 0.000 0.500 0.000
Tc3 0.500 0.000 0.000
Sb1 0.500 0.500 0.500

The least stable of them is model 2.

Model 1:
Computed, not measured: a relaxed structure of ZrTc3Sb at the PBE level of DFT.

Summary:
density of states at the Fermi level = 6.2 states/eV per cell

Cell lengths 4.819, 4.819, 4.819 Å; angles 90.00, 90.00, 90.00 degrees
Positions (direct):
Zr1 0.000 0.000 0.000
Tc1 0.000 0.000 0.500
Tc2 0.000 0.500 0.000
Tc3 0.500 0.000 0.000
Sb1 0.500 0.500 0.500

Model 2:
Computed, not measured: a relaxed structure of ZrTc3Sb at the PBE level of DFT.

Summary:
density of states at the Fermi level = 5.4 states/eV per cell

Cell lengths 4.777, 4.777, 4.777 Å; angles 90.00, 90.00, 90.00 degrees
Positions (direct):
Zr1 0.000 0.000 0.000
Tc1 0.000 0.500 0.500
Tc2 0.500 0.000 0.500
Tc3 0.500 0.500 0.000
Sb1 0.500 0.500 0.500

The least stable of them is model 1.